VASP calculation (PBE) on BaOs3Pt after structural relaxation.

Properties
**ΔE_f**: 3.922 eV/atom
**M_tot**: 4.760 μB/f.u.
**E_tot**: -22.044 eV/cell
**Offset from the most stable computed form**: 2051 meV/atom

a = 4.9605 Å, b = 4.9605 Å, c = 4.9605 Å
α = 90.00°, β = 90.00°, γ = 90.00°
Closest atoms and distances in Å follow each position.
Positions (direct):
Ba 0.0000 0.0000 0.0000  6 Os 2.48
Os 0.0000 0.0000 0.5000  2 Ba 2.48
Os 0.0000 0.5000 0.0000  2 Ba 2.48
Os 0.5000 0.0000 0.0000  2 Ba 2.48
Pt 0.5000 0.5000 0.5000  12 Os 3.51

VASP calculation (PBE) on BaOs2Pt after structural relaxation.

Properties
**ΔE_f**: 0.846 eV/atom
**M_tot**: 0.000 μB/f.u.
**E_tot**: -27.041 eV/cell
**Offset from the most stable computed form**: 725 meV/atom

a = 5.7295 Å, b = 5.7295 Å, c = 5.7295 Å
α = 142.69°, β = 119.98°, γ = 72.84°
Closest atoms and distances in Å follow each position.
Positions (direct):
Ba 0.0000 0.0000 0.0000  8 Os 3.24-3.60, 4 Pt 3.35-3.39
Os 0.3357 0.8357 0.5000  2 Os 2.36
Os 0.4964 0.4964 0.0000  2 Os 2.36, 2 Pt 2.60
Pt 0.6963 0.1963 0.5000  2 Os 2.60

VASP calculation (PBE) on BaOsPt4 after structural relaxation.

Properties
**ΔE_f**: 0.316 eV/atom
**M_tot**: 3.708 μB/f.u.
**E_tot**: -35.418 eV/cell

a = 5.4791 Å, b = 5.4791 Å, c = 5.4791 Å
α = 60.00°, β = 60.00°, γ = 60.00°
Closest atoms and distances in Å follow each position.
Positions (direct):
Ba 0.0000 0.0000 0.0000  12 Pt 3.21, 4 Os 3.36
Os 0.7500 0.7500 0.7500  12 Pt 3.21, 4 Ba 3.36
Pt 0.3755 0.3755 0.3755  6 Pt 2.73-2.75
Pt 0.3755 0.3755 0.8734  6 Pt 2.73-2.75
Pt 0.3755 0.8734 0.3755  6 Pt 2.73-2.75
Pt 0.8734 0.3755 0.3755  6 Pt 2.73-2.75

VASP calculation (PBE) on BaOsPt2 after structural relaxation.

Properties
**ΔE_f**: 0.183 eV/atom
**M_tot**: 0.000 μB/f.u.
**E_tot**: -24.502 eV/cell
**Offset from the most stable computed form**: 356 meV/atom

a = 2.9294 Å, b = 3.7697 Å, c = 7.4568 Å
α = 90.00°, β = 90.00°, γ = 90.00°
Closest atoms and distances in Å follow each position.
Positions (direct):
Ba 0.0000 0.0000 0.0000  2 Ba 2.93
Os 0.0000 0.0000 0.5000  8 Pt 2.74, 2 Os 2.93
Pt 0.5000 0.5000 0.3196  3 Pt 2.69-2.93, 4 Os 2.74
Pt 0.5000 0.5000 0.6804  3 Pt 2.69-2.93, 4 Os 2.74

VASP calculation (PBE) on BaOsPt2 after structural relaxation.

Properties
**ΔE_f**: -0.173 eV/atom
**M_tot**: 1.283 μB/f.u.
**E_tot**: -25.928 eV/cell
**Offset from the most stable computed form**: 0 meV/atom

a = 6.2201 Å, b = 6.2201 Å, c = 6.2201 Å
α = 42.50°, β = 42.50°, γ = 42.50°
Closest atoms and distances in Å follow each position.
Positions (direct):
Ba 0.0000 0.0000 0.0000  8 Pt 3.21-3.57
Os 0.5000 0.5000 0.5000  6 Pt 2.63
Pt 0.1895 0.1895 0.1895  3 Os 2.63, 3 Pt 2.72
Pt 0.8105 0.8105 0.8105  3 Os 2.63, 3 Pt 2.72

VASP calculation (PBE) on BaOs3Pt after structural relaxation.

Properties
**ΔE_f**: 1.871 eV/atom
**M_tot**: 1.512 μB/f.u.
**E_tot**: -32.300 eV/cell
**Offset from the most stable computed form**: 0 meV/atom

a = 4.9122 Å, b = 4.9122 Å, c = 4.9122 Å
α = 90.00°, β = 90.00°, γ = 90.00°
Closest atoms and distances in Å follow each position.
Positions (direct):
Ba 0.0000 0.0000 0.0000  12 Os 3.47
Os 0.0000 0.5000 0.5000  2 Pt 2.46
Os 0.5000 0.0000 0.5000  2 Pt 2.46
Os 0.5000 0.5000 0.0000  2 Pt 2.46
Pt 0.5000 0.5000 0.5000  6 Os 2.46

VASP calculation (PBE) on BaOs2Pt after structural relaxation.

Properties
**ΔE_f**: 1.259 eV/atom
**M_tot**: 0.005 μB/f.u.
**E_tot**: -25.386 eV/cell
**Offset from the most stable computed form**: 1139 meV/atom

a = 5.4793 Å, b = 5.4793 Å, c = 2.8182 Å
α = 90.00°, β = 90.00°, γ = 114.93°
Closest atoms and distances in Å follow each position.
Positions (direct):
Ba 0.0000 0.0000 0.0000  2 Ba 2.82, 2 Pt 2.95, 8 Os 3.08
Os 0.0000 0.5000 0.5000  4 Os 2.82-2.95, 4 Ba 3.08, 4 Pt 3.08
Os 0.5000 0.0000 0.5000  4 Os 2.82-2.95, 4 Ba 3.08, 4 Pt 3.08
Pt 0.5000 0.5000 0.0000  2 Pt 2.82, 2 Ba 2.95, 8 Os 3.08

VASP calculation (PBE) on BaOsPt2 after structural relaxation.

Properties
**ΔE_f**: 0.498 eV/atom
**M_tot**: 0.001 μB/f.u.
**E_tot**: -23.242 eV/cell
**Offset from the most stable computed form**: 672 meV/atom

a = 6.1177 Å, b = 6.1177 Å, c = 6.1177 Å
α = 152.41°, β = 129.94°, γ = 58.12°
Closest atoms and distances in Å follow each position.
Positions (direct):
Ba 0.0000 0.0000 0.0000  2 Ba 2.92, 4 Pt 2.97
Os 0.7233 0.2233 0.5000  2 Pt 2.69, 2 Os 2.92
Pt 0.2774 0.7774 0.5000  4 Pt 2.90-2.92, 4 Os 3.03
Pt 0.5116 0.5116 0.0000  2 Os 2.69, 4 Pt 2.90-2.92, 4 Ba 2.97

VASP calculation (PBE) on BaOsPt2 after structural relaxation.

Properties
**ΔE_f**: 0.714 eV/atom
**M_tot**: 0.000 μB/f.u.
**E_tot**: -22.379 eV/cell
**Offset from the most stable computed form**: 887 meV/atom

a = 10.2596 Å, b = 10.2596 Å, c = 10.2596 Å
α = 16.66°, β = 16.66°, γ = 16.66°
Closest atoms and distances in Å follow each position.
Positions (direct):
Ba 0.0000 0.0000 0.0000  6 Ba 2.97
Os 0.7646 0.7646 0.7646  3 Pt 2.67, 6 Os 2.97
Pt 0.2392 0.2392 0.2392  9 Pt 2.82-2.97
Pt 0.4987 0.4987 0.4987  3 Os 2.67, 9 Pt 2.82-2.97

VASP calculation (PBE) on BaOsPt3 after structural relaxation.

Properties
**ΔE_f**: 2.647 eV/atom
**M_tot**: 3.574 μB/f.u.
**E_tot**: -18.041 eV/cell
**Offset from the most stable computed form**: 2401 meV/atom

a = 5.2616 Å, b = 5.2616 Å, c = 5.2616 Å
α = 90.00°, β = 90.00°, γ = 90.00°
Closest atoms and distances in Å follow each position.
Positions (direct):
Ba 0.0000 0.0000 0.0000  6 Pt 2.63
Os 0.5000 0.5000 0.5000  12 Pt 3.72
Pt 0.0000 0.0000 0.5000  2 Ba 2.63
Pt 0.0000 0.5000 0.0000  2 Ba 2.63
Pt 0.5000 0.0000 0.0000  2 Ba 2.63

VASP calculation (PBE) on BaScOs2Pt after structural relaxation.

Properties
**ΔE_f**: 1.731 eV/atom
**M_tot**: 1.754 μB/f.u.
**E_tot**: -28.098 eV/cell

a = 4.7039 Å, b = 4.7039 Å, c = 5.7119 Å
α = 90.00°, β = 90.00°, γ = 90.00°
Closest atoms and distances in Å follow each position.
Positions (direct):
Ba 0.0000 0.0000 0.0000  2 Sc 2.86
Sc 0.0000 0.0000 0.5000  4 Os 2.35
Os 0.0000 0.5000 0.5000  2 Sc 2.35
Os 0.5000 0.0000 0.5000  2 Sc 2.35
Pt 0.5000 0.5000 0.0000  4 Ba 3.33, 8 Os 3.70

VASP calculation (PBE) on BaSi2OsPt after structural relaxation.

Properties
**M_tot**: 0.000 μB/f.u.
**E_tot**: -15.434 eV/cell

a = 5.3117 Å, b = 5.3117 Å, c = 5.1303 Å
α = 90.00°, β = 90.00°, γ = 90.00°
Closest atoms and distances in Å follow each position.
Positions (direct):
Ba 0.0000 0.0000 0.0000  2 Pt 2.57, 4 Si 2.66
Si 0.0000 0.5000 0.0000  2 Ba 2.66
Si 0.5000 0.0000 0.0000  2 Ba 2.66
Os 0.5000 0.5000 0.5000  8 Si 3.69, 4 Pt 3.76
Pt 0.0000 0.0000 0.5000  2 Ba 2.57